Record 1
Density functional theory data (GGA-PBE) for crystalline NdZrSc2 at its relaxed geometry.

Its energy of formation from the pure elements is 0.10 eV/atom. The value obtained for the energy above the most stable polymorph in this dataset is 26 meV/atom. Its total energy is -25.6 eV/cell. Its theoretical density is 5.09 Mg/m³.

The structure belongs to space group P4/mmm (No. 123); the cell edges are 3.824, 3.824 and 7.254 Å and the angles 90.00°, 90.00° and 90.00°. The distinct sites, in fractional coordinates, are Nd at (0.000, 0.000, 0.000), Zr at (0.000, 0.000, 0.500) and Sc at (0.500, 0.500, 0.284).


Record 2
Density functional theory data (GGA-PBE) for crystalline Nd2ZrSc at its relaxed geometry.

Its energy of formation from the pure elements is 0.13 eV/atom. The value obtained for the energy above the most stable polymorph in this dataset is 0 meV/atom. Its total energy is -23.9 eV/cell. Its theoretical density is 6.17 Mg/m³.

The structure belongs to space group P4/mmm (No. 123); the cell edges are 4.871, 4.871 and 4.820 Å and the angles 90.00°, 90.00° and 90.00°. The distinct sites, in fractional coordinates, are Nd at (0.000, 0.500, 0.000), Zr at (0.000, 0.000, 0.500) and Sc at (0.500, 0.500, 0.500).


Record 3
Density functional theory data (GGA-PBE) for crystalline NdSe4 at its relaxed geometry.

Its total energy is -18.3 eV/cell. Its theoretical density is 3.99 Mg/m³. The energy relative to the elements, uncorrected comes out at 0.078 eV per atom.

The structure belongs to space group Pm-3m (No. 221); the cell edges are 5.762, 5.762 and 5.762 Å and the angles 90.00°, 90.00° and 90.00°. The distinct sites, in fractional coordinates, are Nd at (0.000, 0.000, 0.000), Se at (0.000, 0.000, 0.500) and Se at (0.500, 0.500, 0.500).


Record 4
Density functional theory data (GGA-PBE) for crystalline Nd10Se19 at its relaxed geometry.

Its total energy is -325.7 eV/cell. Its theoretical density is 6.57 Mg/m³. The energy relative to the elements, uncorrected comes out at -1.688 eV per atom.

The structure belongs to space group P4_2/n (No. 86, origin choice 2); the cell edges are 9.334, 9.334 and 17.066 Å and the angles 90.00°, 90.00° and 90.00°. The distinct sites, in fractional coordinates, are Nd at (0.044, 0.153, 0.120), Nd at (0.053, 0.148, 0.606), Nd at (0.250, 0.750, 0.117), Se at (0.030, 0.673, 0.250), Se at (0.049, 0.152, 0.429), Se at (0.052, 0.149, 0.937), Se at (0.065, 0.619, 0.751), Se at (0.250, 0.250, 0.250) and Se at (0.250, 0.750, 0.436).


Record 5
Density functional theory data (GGA-PBE) for crystalline Nd2Se5 at its relaxed geometry.

Its total energy is -146.4 eV/cell. Its theoretical density is 6.28 Mg/m³. The energy relative to the elements, uncorrected comes out at -1.379 eV per atom.

The structure belongs to space group Cmcm (No. 63); the cell edges are 4.067, 43.724 and 4.066 Å and the angles 90.00°, 90.00° and 90.00°. The distinct sites, in fractional coordinates, are Nd at (0.000, 0.103, 0.250), Nd at (0.000, 0.306, 0.250), Se at (0.000, 0.048, 0.750), Se at (0.000, 0.175, 0.250), Se at (0.000, 0.250, 0.750), Se at (0.000, 0.376, 0.250) and Se at (0.000, 0.452, 0.750).


Record 6
Density functional theory data (GGA-PBE) for crystalline Nd4Se at its relaxed geometry.

Its total energy is -25.1 eV/cell. Its theoretical density is 5.98 Mg/m³. The energy relative to the elements, uncorrected comes out at -0.508 eV per atom.

The structure belongs to space group Pm-3m (No. 221); the cell edges are 5.667, 5.667 and 5.667 Å and the angles 90.00°, 90.00° and 90.00°. The distinct sites, in fractional coordinates, are Nd at (0.000, 0.000, 0.000), Nd at (0.000, 0.500, 0.500) and Se at (0.500, 0.500, 0.500).


Record 7
Density functional theory data (GGA-PBE) for crystalline Nd2Se at its relaxed geometry.

Its total energy is -63.4 eV/cell. Its theoretical density is 6.85 Mg/m³. The energy relative to the elements, uncorrected comes out at -0.947 eV per atom.

The structure belongs to space group Fmmm (No. 69); the cell edges are 5.205, 5.224 and 13.100 Å and the angles 90.00°, 90.00° and 90.00°. The distinct sites, in fractional coordinates, are Nd at (0.000, 0.000, 0.138) and Se at (0.000, 0.000, 0.500).


Record 8
Density functional theory data (GGA-PBE) for crystalline Nd6Se5 at its relaxed geometry.

Its total energy is -128.5 eV/cell. Its theoretical density is 6.66 Mg/m³. The energy relative to the elements, uncorrected comes out at -1.654 eV per atom.

The structure belongs to space group C2/m (No. 12); the cell edges are 7.298, 12.533 and 7.282 Å and the angles 90.00°, 109.34° and 90.00°. The distinct sites, in fractional coordinates, are Nd at (0.249, 0.000, 0.256), Nd at (0.250, 0.169, 0.750), Se at (0.000, 0.000, 0.500), Se at (0.000, 0.165, 0.000) and Se at (0.000, 0.331, 0.500).